# TaAl2Hg

A relaxed structure of TaAl2Hg (GGA-PBE, Alexandria via LeMat-Bulk).

Electronic total energy ... -4.40 eV/atom
Formation energy from the elements ... 49 kJ per mole of atoms
Space group ... F-43m (216)
Spin magnetization ... 1.15 μB per cell

```
data_TaAl2Hg
_cell_length_a 4.704
_cell_length_b 4.704
_cell_length_c 4.704
_cell_angle_alpha 60.00
_cell_angle_beta 60.00
_cell_angle_gamma 60.00
_symmetry_space_group_name_H-M 'P 1'
_symmetry_Int_Tables_number 1
_symmetry_space_group_name_Hall 'P 1'
loop_
_atom_site_label
_atom_site_fract_x
_atom_site_fract_y
_atom_site_fract_z
_atom_site_occupancy
Ta1 0.000 0.000 0.000 1
Al1 0.500 0.500 0.500 1
Al2 0.750 0.750 0.750 1
Hg1 0.250 0.250 0.250 1
```